[1]
A relaxed structure of NaNdMgZn, computed with GGA-PBE.

As for the calculated volume: 23.8 A^3/atom. As for the total moment: 0.000 μB per atom. The total energy is -36.61 eV per cell. The formation energy from the elements comes out at -0.05 eV/atom.

The structure belongs to space group F-43m (No. 216); the cell edges are 7.2496, 7.2496 and 7.2496 Å and the angles 90.00°, 90.00° and 90.00°. The inequivalent atoms are Na at (0.0000, 0.0000, 0.0000), Nd at (0.2500, 0.2500, 0.2500), Mg at (0.2500, 0.2500, 0.7500) and Zn at (0.0000, 0.0000, 0.5000).

[2]
A relaxed structure of NaMg2Ni2, computed with GGA-PBE.

As for the calculated volume: 20.7 A^3/atom. The energy relative to the lowest polymorph listed for this composition is 133 meV per atom. As for the total moment: 0.000 μB per atom. The total energy is -30.53 eV per cell. The formation energy from the elements comes out at 0.16 eV/atom.

The structure belongs to space group I4/mmm (No. 139); the cell edges are 3.3358, 3.3358 and 18.6296 Å and the angles 90.00°, 90.00° and 90.00°. The inequivalent atoms are Na at (0.0000, 0.0000, 0.0000), Mg at (0.0000, 0.0000, 0.3592) and Ni at (0.0000, 0.5000, 0.2500).

[3]
A relaxed structure of NaMg2Ni2, computed with GGA-PBE.

As for the calculated volume: 16.8 A^3/atom. The energy relative to the lowest polymorph listed for this composition is 32 meV per atom. As for the total moment: 0.000 μB per atom. The total energy is -31.54 eV per cell. The formation energy from the elements comes out at 0.06 eV/atom.

The structure belongs to space group P4/mbm (No. 127); the cell edges are 7.7589, 7.7589 and 2.7958 Å and the angles 90.00°, 90.00° and 90.00°. The inequivalent atoms are Na at (0.0000, 0.0000, 0.0000), Mg at (0.1407, 0.3593, 0.0000) and Ni at (0.1506, 0.6506, 0.5000).

[4]
A relaxed structure of NaMg6Ni, computed with GGA-PBE.

As for the calculated volume: 21.6 A^3/atom. The energy relative to the lowest polymorph listed for this composition is 99 meV per atom. As for the total moment: 0.000 μB per atom. The total energy is -31.63 eV per cell. The formation energy from the elements comes out at 0.11 eV/atom.

The structure belongs to space group Amm2 (No. 38); the cell edges are 4.9030, 6.1716 and 11.4335 Å and the angles 90.00°, 90.00° and 90.00°. The inequivalent atoms are Na at (0.0000, 0.0000, 0.0000), Mg at (0.0000, 0.0000, 0.4845), Mg at (0.0000, 0.2377, 0.2308), Mg at (0.5000, 0.0000, 0.6437), Mg at (0.5000, 0.2430, 0.3867) and Ni at (0.5000, 0.0000, 0.1912).